A plane-wave DFT calculation with PBE was carried out for a relaxed CaPm2SmAs4 crystal.

The structure in extended XYZ format:
```
8
Lattice="-3.062 -2.241 -1.882 3.345 -6.226 1.974 -2.480 -2.135 6.579" Properties=species:S:1:pos:R:3 pbc="T T T"
As -2.550 -4.274 4.473
As 0.665 -6.279 6.397
As -2.862 -4.324 0.274
As 0.353 -6.329 2.198
Pm -2.771 -2.188 2.349
Pm -2.480 -2.135 6.579
Sm 0.433 -4.181 4.276
Ca -2.338 -6.369 6.625
```

Results
- space-group type = P2/m (10)
- crystal system = monoclinic
- energy of formation from the pure elements (eV per atom) = -1.3594



A plane-wave DFT calculation with PBE was carried out for a relaxed Li3HfGa crystal.

The structure in extended XYZ format:
```
5
Lattice="-0.577 -4.858 -1.970 3.032 1.308 -4.112 4.276 -1.582 2.650" Properties=species:S:1:pos:R:3 pbc="T T T"
Li 1.516 0.654 -2.056
Li 2.138 -0.791 1.325
Li -0.288 -2.429 -0.985
Hf 0.000 0.000 0.000
Ga 3.366 -2.566 -1.716
```

Results
- space-group type = Pm-3m (221)
- crystal system = cubic
- energy of formation from the pure elements (eV per atom) = 1.3028



A plane-wave DFT calculation with PBE was carried out for a relaxed KLa2Ni crystal.

The structure in extended XYZ format:
```
4
Lattice="-3.256 2.065 -0.729 -2.253 -3.371 0.513 -1.968 0.315 9.684" Properties=species:S:1:pos:R:3 pbc="T T T"
La -2.178 -3.000 1.231
La -2.908 0.260 3.164
K -4.342 -0.709 6.826
Ni -2.412 -2.442 3.858
```

Results
- space-group type = Pm (6)
- crystal system = monoclinic
- energy of formation from the pure elements (eV per atom) = 0.0638



A plane-wave DFT calculation with PBE was carried out for a relaxed SiRu2 crystal.

The structure in extended XYZ format:
```
6
Lattice="5.298 0.000 -0.002 4.528 2.752 -0.002 1.463 0.410 5.465" Properties=species:S:1:pos:R:3 pbc="T T T"
Ru 3.709 1.039 1.642
Ru 7.571 2.120 3.693
Ru 1.070 0.300 2.074
Ru 4.933 1.381 4.125
Si 1.503 0.421 5.376
Si 7.138 1.999 0.391
```

Results
- E_form (uncorrected) (meV per atom) = -376
- space-group type = C2/m (12)
- crystal system = monoclinic



A plane-wave DFT calculation with PBE was carried out for a relaxed Fe3PdC crystal.

The structure in extended XYZ format:
```
5
Lattice="4.623 0.000 0.000 0.000 4.623 0.000 0.000 0.000 4.623" Properties=species:S:1:pos:R:3 pbc="T T T"
C 2.312 2.312 2.312
Pd 0.000 0.000 0.000
Fe 2.312 0.000 0.000
Fe 0.000 2.312 0.000
Fe 0.000 0.000 2.312
```

Results
- space-group type = Pm-3m (221)
- crystal system = cubic
- energy of formation from the pure elements (eV per atom) = 2.4051



A plane-wave DFT calculation with PBE was carried out for a relaxed SiN3Cl crystal.

The structure in extended XYZ format:
```
5
Lattice="3.650 0.000 0.000 0.000 3.650 0.000 0.000 0.000 3.650" Properties=species:S:1:pos:R:3 pbc="T T T"
Cl 1.825 1.825 1.825
Si 0.000 0.000 0.000
N 1.825 0.000 0.000
N 0.000 0.000 1.825
N 0.000 1.825 0.000
```

Results
- E_form (uncorrected) (meV per atom) = 1450
- space-group type = Pm-3m (221)
- crystal system = cubic



A plane-wave DFT calculation with PBE was carried out for a relaxed Eu2Zn4Cu crystal.

The structure in extended XYZ format:
```
7
Lattice="-1.292 0.110 -4.475 -0.197 -4.655 -0.058 -8.295 -1.980 -0.080" Properties=species:S:1:pos:R:3 pbc="T T T"
Zn -5.992 -2.069 -0.747
Zn -0.646 0.055 -2.238
Zn -3.792 -4.455 -3.866
Zn -0.099 -2.327 -0.029
Eu -2.969 -2.186 -1.622
Eu -6.815 -4.338 -2.990
Cu 0.000 0.000 0.000
```

Results
- space-group type = I4/mmm (139)
- crystal system = tetragonal
- energy of formation from the pure elements (eV per atom) = -0.0546



A plane-wave DFT calculation with PBE was carried out for a relaxed TaCu2Re crystal.

The structure in extended XYZ format:
```
4
Lattice="-1.596 -0.992 -4.352 -2.479 -2.334 3.298 -1.742 2.078 0.164" Properties=species:S:1:pos:R:3 pbc="T T T"
Ta -2.111 -0.128 1.731
Cu 0.000 0.000 0.000
Cu -2.038 -1.663 -0.527
Re -1.669 0.543 -2.094
```

Results
- space-group type = Cmmm (65)
- crystal system = orthorhombic
- energy of formation from the pure elements (eV per atom) = 0.1840



| no. | raw total energy (eV/atom) |
| --- | --- |
| 1 | -5.7119 |
| 2 | -2.4416 |
| 3 | -4.1196 |
| 4 | -8.3679 |
| 5 | -5.5558 |
| 6 | -4.9987 |
| 7 | -4.3033 |
| 8 | -7.9393 |